A geometry-optimized NiTe2BrO structure. Source: the Alexandria database, functional PBE+U.

```
NiTe2BrO
1.0
5.3486 0.0000 0.0000
0.0000 3.7693 0.0000
0.0000 0.0000 5.3486
Ni Te O Br
1 2 1 1
Cartesian
0.0000 1.8846 0.0000
0.0000 0.0000 2.6743
2.6743 0.0000 0.0000
0.0000 0.0000 0.0000
2.6743 1.8846 2.6743
```

Computed properties:
Its total energy is -13.64 eV for the cell shown.